# 1
Below is a geometry-optimized CoAs2W structure, with properties calculated at the PBE-GGA level.

The structure in CIF format:
```
data_CoAs2W
_cell_length_a 3.0184
_cell_length_b 3.0184
_cell_length_c 22.6525
_cell_angle_alpha 90.00
_cell_angle_beta 90.00
_cell_angle_gamma 120.00
_space_group_name_H-M_alt 'R -3 m'
_space_group_IT_number 166
_space_group_name_Hall '-R 3 2"'
loop_
_atom_site_label
_atom_site_type_symbol
_atom_site_fract_x
_atom_site_fract_y
_atom_site_fract_z
Co1 Co 0.0000 0.0000 0.0000
As1 As 0.0000 0.0000 0.2548
W1 W 0.0000 0.0000 0.5000
```

Summary:
uncorrected energy: -7.11 eV/atom
ΔH_f (0 K): 0.23 eV per atom



# 2
Below is a geometry-optimized RbPd2Au3 structure, with properties calculated at the PBE-GGA level.

The structure in CIF format:
```
data_RbPd2Au3
_cell_length_a 11.3585
_cell_length_b 8.9703
_cell_length_c 5.5686
_cell_angle_alpha 90.00
_cell_angle_beta 90.00
_cell_angle_gamma 90.00
_space_group_name_H-M_alt 'C m c m'
_space_group_IT_number 63
_space_group_name_Hall '-C 2c 2'
loop_
_atom_site_label
_atom_site_type_symbol
_atom_site_fract_x
_atom_site_fract_y
_atom_site_fract_z
Rb1 Rb 0.0000 0.1636 0.2500
Pd1 Pd 0.1995 0.5000 0.0000
Au1 Au 0.0000 0.4148 0.7500
Au2 Au 0.2103 0.2364 0.7500
```

Summary:
uncorrected energy: -3.65 eV/atom
ΔH_f (0 K): -0.12 eV per atom



# 3
Below is a geometry-optimized Na3Cr2BiS6 structure, with properties calculated at the PBE-GGA level.

The structure in CIF format:
```
data_Na3Cr2BiS6
_cell_length_a 6.4949
_cell_length_b 11.2714
_cell_length_c 6.9896
_cell_angle_alpha 90.00
_cell_angle_beta 108.54
_cell_angle_gamma 90.00
_space_group_name_H-M_alt 'C 1 2/m 1'
_space_group_IT_number 12
loop_
_space_group_symop_operation_xyz
'x,y,z'
'-x,-y,-z'
'-x,y,-z'
'x,-y,z'
'x+1/2,y+1/2,z'
'-x+1/2,-y+1/2,-z'
'-x+1/2,y+1/2,-z'
'x+1/2,-y+1/2,z'
loop_
_atom_site_label
_atom_site_type_symbol
_atom_site_fract_x
_atom_site_fract_y
_atom_site_fract_z
Na1 Na 0.0000 0.0000 0.0000
Na2 Na 0.0000 0.3410 0.0000
Cr1 Cr 0.0000 0.1675 0.5000
Bi1 Bi 0.0000 0.5000 0.5000
S1 S 0.2012 0.0000 0.7090
S2 S 0.2441 0.1852 0.2921
```

Summary:
uncorrected energy: -5.15 eV/atom
ΔE_f (raw): -0.83 eV per atom



# 4
Below is a geometry-optimized Li8InPd2 structure, with properties calculated at the PBE-GGA level.

The structure in CIF format:
```
data_Li8InPd2
_cell_length_a 7.4623
_cell_length_b 11.8276
_cell_length_c 4.7194
_cell_angle_alpha 90.00
_cell_angle_beta 109.04
_cell_angle_gamma 90.00
_space_group_name_H-M_alt 'C 1 2/m 1'
_space_group_IT_number 12
loop_
_space_group_symop_operation_xyz
'x,y,z'
'-x,-y,-z'
'-x,y,-z'
'x,-y,z'
'x+1/2,y+1/2,z'
'-x+1/2,-y+1/2,-z'
'-x+1/2,y+1/2,-z'
'x+1/2,-y+1/2,z'
loop_
_atom_site_label
_atom_site_type_symbol
_atom_site_fract_x
_atom_site_fract_y
_atom_site_fract_z
Li1 Li 0.0000 0.2409 0.0000
Li2 Li 0.1048 0.5000 0.8001
Li3 Li 0.1954 0.1250 0.6018
In1 In 0.0000 0.0000 0.0000
Pd1 Pd 0.0000 0.3164 0.5000
```

Summary:
uncorrected energy: -2.77 eV/atom
ΔH_f (0 K): -0.19 eV per atom



# 5
Below is a geometry-optimized SmPu2Pa structure, with properties calculated at the PBE-GGA level.

The structure in CIF format:
```
data_SmPu2Pa
_cell_length_a 3.3552
_cell_length_b 3.3552
_cell_length_c 9.4288
_cell_angle_alpha 90.00
_cell_angle_beta 90.00
_cell_angle_gamma 90.00
_space_group_name_H-M_alt 'P 4/m m m'
_space_group_IT_number 123
_space_group_name_Hall '-P 4 2'
loop_
_atom_site_label
_atom_site_type_symbol
_atom_site_fract_x
_atom_site_fract_y
_atom_site_fract_z
Sm1 Sm 0.0000 0.0000 0.0000
Pu1 Pu 0.5000 0.5000 0.2797
Pa1 Pa 0.0000 0.0000 0.5000
```

Summary:
uncorrected energy: -10.60 eV/atom
ΔH_f (0 K): 0.12 eV per atom



# 6
Below is a geometry-optimized Nd3RuAu structure, with properties calculated at the PBE-GGA level.

The structure in CIF format:
```
data_Nd3RuAu
_cell_length_a 5.9662
_cell_length_b 6.5905
_cell_length_c 8.1980
_cell_angle_alpha 72.11
_cell_angle_beta 83.25
_cell_angle_gamma 64.67
_space_group_name_H-M_alt 'P -1'
_space_group_IT_number 2
loop_
_space_group_symop_operation_xyz
'x,y,z'
'-x,-y,-z'
loop_
_atom_site_label
_atom_site_type_symbol
_atom_site_fract_x
_atom_site_fract_y
_atom_site_fract_z
Nd1 Nd 0.0383 0.1562 0.1441
Nd2 Nd 0.3168 0.2042 0.6699
Nd3 Nd 0.3827 0.4693 0.2270
Ru1 Ru 0.4293 0.8456 0.9746
Au1 Au 0.1727 0.7594 0.4990
```

Summary:
uncorrected energy: -5.77 eV/atom
ΔH_f (0 K): -0.40 eV per atom